# 1
Computed, not measured: TaSe2 after structural relaxation at the PBE-GGA level of DFT.

Values from the calculation:
For the volume, the calculation gives 21.91 Å³ per atom. The value obtained for the energy relative to the elements, uncorrected is -0.88 eV per formula unit. As for the mass density: 8.562 Mg/m³. The calculation puts the magnetization at 0.0 μB per formula unit. The calculation puts the uncorrected energy at -6.57 eV/atom.

```
TaSe2
1.0
1.673 -7.868 0.000
1.673 7.868 0.000
0.000 0.000 4.993
Ta Se
2 4
direct
0.060 0.940 0.750
0.940 0.060 0.250
0.312 0.688 0.250
0.431 0.569 0.750
0.569 0.431 0.250
0.688 0.312 0.750
```



# 2
Computed, not measured: Tb2TaSe6 after structural relaxation at the PBE-GGA level of DFT.

Values from the calculation:
For the volume, the calculation gives 24.63 Å³ per atom. The value obtained for the energy relative to the elements, uncorrected is -11.13 eV per formula unit. As for the mass density: 7.286 Mg/m³. The calculation puts the magnetization at 0.0 μB per formula unit. The calculation puts the uncorrected energy at -5.91 eV/atom.

```
Tb2TaSe6
1.0
6.528 0.000 0.000
0.000 7.440 0.000
-6.294 0.000 9.126
Tb Ta Se
4 2 12
direct
0.206 0.123 0.242
0.206 0.377 0.742
0.794 0.623 0.258
0.794 0.877 0.758
0.500 0.000 0.000
0.500 0.500 0.500
0.105 0.174 0.936
0.105 0.326 0.436
0.286 0.688 0.941
0.286 0.812 0.441
0.364 0.024 0.733
0.364 0.476 0.233
0.636 0.524 0.767
0.636 0.976 0.267
0.714 0.188 0.559
0.714 0.312 0.059
0.895 0.674 0.564
0.895 0.826 0.064
```



# 3
Computed, not measured: Tb2TaSe after structural relaxation at the PBE-GGA level of DFT.

Values from the calculation:
For the volume, the calculation gives 25.82 Å³ per atom. The value obtained for the energy relative to the elements, uncorrected is 0.11 eV per formula unit. As for the mass density: 9.288 Mg/m³. The calculation puts the magnetization at 0.5 μB per formula unit. The calculation puts the uncorrected energy at -6.12 eV/atom.

```
Tb2TaSe
1.0
1.747 1.009 9.770
-1.747 1.009 9.770
0.000 -2.017 9.770
Tb Ta Se
2 1 1
direct
0.100 0.100 0.100
0.900 0.900 0.900
0.000 0.000 0.000
0.500 0.500 0.500
```



# 4
Computed, not measured: TbTa2Se6 after structural relaxation at the PBE-GGA level of DFT.

Values from the calculation:
For the volume, the calculation gives 27.94 Å³ per atom. The value obtained for the energy relative to the elements, uncorrected is -7.42 eV per formula unit. As for the mass density: 6.568 Mg/m³. The calculation puts the magnetization at 1.0 μB per formula unit. The calculation puts the uncorrected energy at -6.30 eV/atom.

```
TbTa2Se6
1.0
6.407 -2.456 0.000
6.407 2.456 0.000
-4.278 0.000 7.991
Tb Ta Se
1 2 6
direct
0.000 0.000 0.000
0.179 0.179 0.618
0.821 0.821 0.382
0.016 0.016 0.694
0.297 0.297 0.437
0.350 0.350 0.906
0.650 0.650 0.094
0.703 0.703 0.563
0.984 0.984 0.306
```



> Look up the energy relative to the elements, uncorrected of the second one.

-11.13 eV per formula unit



> What is the mass density in the third record?

9.288 Mg/m³